Density functional theory data (GGA-PBE) for crystalline TaHgSe2 at its relaxed geometry.

Cell lengths 19.271, 6.745, 6.745 Å; angles 89.19, 106.10, 73.90 degrees
Atoms (fractional coordinates):
Se 0.069 0.623 0.672
Hg 0.073 0.067 0.932
Se 0.569 0.828 0.877
Hg 0.927 0.933 0.068
Ta 0.674 0.990 0.874
Se 0.250 0.333 0.310
Se 0.250 0.810 0.833
Se 0.250 0.340 0.840
Ta 0.826 0.374 0.490
Se 0.250 0.808 0.308
Hg 0.579 0.069 0.442
Se 0.071 0.596 0.194
Ta 0.831 0.365 0.985
Se 0.571 0.306 0.904
Hg 0.079 0.058 0.431
Se 0.750 0.667 0.690
Hg 0.421 0.931 0.558
Hg 0.921 0.942 0.569
Hg 0.427 0.432 0.567
Ta 0.331 0.515 0.135
Se 0.929 0.404 0.806
Ta 0.174 0.626 0.510
Hg 0.573 0.568 0.433
Se 0.931 0.377 0.328
Se 0.750 0.190 0.167
Ta 0.326 0.010 0.126
Se 0.429 0.694 0.096
Se 0.750 0.660 0.160
Se 0.750 0.192 0.692
Se 0.431 0.172 0.123
Ta 0.169 0.635 0.015
Ta 0.669 0.485 0.865

Computed properties:
DFT total energy = -164.71 eV/cell
space group = C2/c (15)
mass density = 8.90 g cm⁻³

Density functional theory data (GGA-PBE) for crystalline TaHg2Se2 at its relaxed geometry.

Cell lengths 7.591, 7.591, 3.812 Å; angles 90.00, 90.00, 90.00 degrees
Site moments in Bohr magnetons follow the coordinates.
Atoms (fractional coordinates):
Hg 0.863 0.637 0.000  0.01
Se 0.173 0.673 0.500  -0.01
Se 0.827 0.327 0.500  -0.01
Se 0.327 0.173 0.500  -0.02
Hg 0.137 0.363 0.000  0.01
Hg 0.363 0.863 0.000  0.01
Ta 0.500 0.500 0.000  0.51
Hg 0.637 0.137 0.000  0.01
Se 0.673 0.827 0.500  -0.02
Ta 0.000 0.000 0.000  0.52

Computed properties:
DFT total energy = -31.98 eV/cell
space group = P4/mbm (127)
mass density = 11.19 g cm⁻³

Density functional theory data (GGA-PBE) for crystalline TaHg2Se at its relaxed geometry.

Cell lengths 5.292, 5.292, 5.292 Å; angles 131.44, 131.44, 71.12 degrees
Atoms (fractional coordinates):
Hg 0.250 0.750 0.500
Ta 0.750 0.250 0.500
Se 0.500 0.500 0.000
Hg 0.000 0.000 0.000

Computed properties:
DFT total energy = -14.04 eV/cell
space group = I-4m2 (119)
mass density = 13.46 g cm⁻³

Density functional theory data (GGA-PBE) for crystalline TaHgSe2 at its relaxed geometry.

Cell lengths 3.091, 3.091, 10.088 Å; angles 90.00, 90.00, 109.37 degrees
Atoms (fractional coordinates):
Hg 0.500 0.500 0.731
Se 0.000 0.000 0.955
Se 0.500 0.500 0.316
Ta 0.000 0.000 0.499

Computed properties:
DFT total energy = -18.55 eV/cell
space group = Cmm2 (35)
mass density = 9.85 g cm⁻³

Density functional theory data (GGA-PBE) for crystalline TaHgSe2 at its relaxed geometry.

Cell lengths 4.857, 3.733, 5.022 Å; angles 68.08, 90.00, 90.00 degrees
Atoms (fractional coordinates):
Se 0.500 0.429 0.266
Hg 0.500 0.714 0.695
Se 0.000 0.035 0.056
Ta 0.000 0.321 0.483

Computed properties:
DFT total energy = -19.15 eV/cell
space group = Pm (6)
mass density = 10.60 g cm⁻³

Density functional theory data (GGA-PBE) for crystalline TaHg2Se at its relaxed geometry.

Cell lengths 4.861, 4.861, 4.861 Å; angles 60.00, 60.00, 60.00 degrees
Atoms (fractional coordinates):
Ta 0.750 0.750 0.750
Hg 0.000 0.000 0.000
Hg 0.250 0.250 0.250
Se 0.500 0.500 0.500

Computed properties:
DFT total energy = -13.75 eV/cell
space group = F-43m (216)
mass density = 13.51 g cm⁻³

| no. | E_form (uncorrected) (eV/f.u.) |
| --- | --- |
| 1 | -1.465 |
| 2 | 3.435 |
| 3 | 1.905 |
| 4 | 0.571 |
| 5 | -0.030 |
| 6 | 2.188 |